This record from OQMD via LeMat-Bulk describes a relaxed BaHgAs crystal. The functional is GGA-PBE.

- space group = F-43m, No. 216
- crystal system = cubic
- calculated volume (Å³/f.u.) = 102
- final energy (eV per atom) = -2.740

abc: 5.2399 5.2399 5.2399
angles: 60.00 60.00 60.00
Atoms (fractional coordinates):
As: 0.2500 0.2500 0.2500
Hg: 0.0000 0.0000 0.0000
Ba: 0.7500 0.7500 0.7500